Entry 1:
VASP calculation (PBE) on crystalline NbRu2Cl at its relaxed geometry.

Summary:
Formation energy (no corrections), eV per atom: 0.758
DOS(E_F), states/eV per cell: 8.35

Cell and atoms, written as CIF:
```
data_NbRu2Cl
_cell_length_a 5.418
_cell_length_b 5.418
_cell_length_c 11.331
_cell_angle_alpha 90.00
_cell_angle_beta 90.00
_cell_angle_gamma 90.00
_symmetry_space_group_name_H-M 'I -4 2 d'
_symmetry_Int_Tables_number 122
_symmetry_space_group_name_Hall 'I -4 2bw'
loop_
_atom_site_label
_atom_site_type_symbol
_atom_site_fract_x
_atom_site_fract_y
_atom_site_fract_z
Nb1 Nb 0.000 0.000 0.000
Ru1 Ru 0.219 0.250 0.625
Cl1 Cl 0.000 0.000 0.500
```

=====

Entry 2:
VASP calculation (PBE) on crystalline YNbPdN2 at its relaxed geometry.

Summary:
Formation energy (no corrections), eV per atom: 1.670
DOS(E_F), states/eV per cell: 6.34

Cell and atoms, written as CIF:
```
data_YNbPdN2
_cell_length_a 4.134
_cell_length_b 4.134
_cell_length_c 4.970
_cell_angle_alpha 90.00
_cell_angle_beta 90.00
_cell_angle_gamma 90.00
_symmetry_space_group_name_H-M 'P 4/m m m'
_symmetry_Int_Tables_number 123
_symmetry_space_group_name_Hall '-P 4 2'
loop_
_atom_site_label
_atom_site_type_symbol
_atom_site_fract_x
_atom_site_fract_y
_atom_site_fract_z
Y1 Y 0.000 0.000 0.000
Nb1 Nb 0.500 0.500 0.000
Pd1 Pd 0.000 0.000 0.500
N1 N 0.000 0.500 0.500
```

=====

Entry 3:
VASP calculation (PBE) on crystalline SrLi3Ga3 at its relaxed geometry.

Summary:
Calculated formation energy, eV per atom: -0.21
DOS(E_F), states/eV per cell: 24.24

Cell and atoms, written as CIF:
```
data_SrLi3Ga3
_cell_length_a 8.1137
_cell_length_b 8.1137
_cell_length_c 15.5800
_cell_angle_alpha 90.00
_cell_angle_beta 90.00
_cell_angle_gamma 120.00
_symmetry_space_group_name_H-M 'R -3'
_symmetry_Int_Tables_number 148
_symmetry_space_group_name_Hall '-R 3'
loop_
_atom_site_label
_atom_site_type_symbol
_atom_site_fract_x
_atom_site_fract_y
_atom_site_fract_z
Sr1 Sr 0.0000 0.0000 0.1979
Li1 Li 0.0238 0.7926 0.4366
Ga1 Ga 0.0134 0.2920 0.0412
```

=====

Entry 4:
VASP calculation (PBE) on crystalline CeNdFe4 at its relaxed geometry.

Summary:
Calculated formation energy, eV per atom: 0.02
DOS(E_F), states/eV per cell: 29.65

Cell and atoms, written as CIF:
```
data_CeNdFe4
_cell_length_a 7.348
_cell_length_b 7.348
_cell_length_c 7.348
_cell_angle_alpha 90.00
_cell_angle_beta 90.00
_cell_angle_gamma 90.00
_symmetry_space_group_name_H-M 'F -4 3 m'
_symmetry_Int_Tables_number 216
_symmetry_space_group_name_Hall 'F -4 2 3'
loop_
_atom_site_label
_atom_site_type_symbol
_atom_site_fract_x
_atom_site_fract_y
_atom_site_fract_z
Ce1 Ce 0.000 0.000 0.000
Nd1 Nd 0.250 0.250 0.250
Fe1 Fe 0.126 0.126 0.626
```

=====

Entry 5:
VASP calculation (PBE) on crystalline CeTm2Mg3 at its relaxed geometry.

Summary:
Calculated formation energy, eV per atom: -0.01
DOS(E_F), states/eV per cell: 10.91

Cell and atoms, written as CIF:
```
data_CeTm2Mg3
_cell_length_a 3.746
_cell_length_b 3.746
_cell_length_c 11.508
_cell_angle_alpha 90.00
_cell_angle_beta 90.00
_cell_angle_gamma 90.00
_symmetry_space_group_name_H-M 'P 4/m m m'
_symmetry_Int_Tables_number 123
_symmetry_space_group_name_Hall '-P 4 2'
loop_
_atom_site_label
_atom_site_type_symbol
_atom_site_fract_x
_atom_site_fract_y
_atom_site_fract_z
Ce1 Ce 0.000 0.000 0.000
Tm1 Tm 0.000 0.000 0.338
Mg1 Mg 0.500 0.500 0.177
Mg2 Mg 0.500 0.500 0.500
```

=====

Entry 6:
VASP calculation (PBE) on crystalline CaScCo at its relaxed geometry.

Summary:
Calculated formation energy, eV per atom: 0.21
DOS(E_F), states/eV per cell: 2.56

Cell and atoms, written as CIF:
```
data_CaScCo
_cell_length_a 6.473
_cell_length_b 6.473
_cell_length_c 6.473
_cell_angle_alpha 90.00
_cell_angle_beta 90.00
_cell_angle_gamma 90.00
_symmetry_space_group_name_H-M 'F -4 3 m'
_symmetry_Int_Tables_number 216
_symmetry_space_group_name_Hall 'F -4 2 3'
loop_
_atom_site_label
_atom_site_type_symbol
_atom_site_fract_x
_atom_site_fract_y
_atom_site_fract_z
Ca1 Ca 0.000 0.000 0.000
Sc1 Sc 0.000 0.000 0.500
Co1 Co 0.250 0.250 0.750
```